Compound: Ta12Cu5Pd3
Source: the Alexandria database
Functional: PBE
Structure: relaxed

The value obtained for the formation energy is 987.3 meV per atom.

Cell lengths 12.9024, 12.9024, 12.9024 Å; angles 109.47, 109.47, 109.47 degrees
With the nearest neighbours (Å) after each atom.
Sites, in units of the cell vectors:
Ta: 0.0617 0.2249 0.1392  2 Cu 2.49-2.51, 2 Pd 2.66-2.75
Ta: 0.0617 0.3368 0.9224  2 Cu 2.49-2.51, 2 Pd 2.66-2.75
Ta: 0.0776 0.6392 0.4143  2 Cu 2.49-2.51, 2 Pd 2.66-2.75
Ta: 0.0776 0.9383 0.6632  2 Cu 2.49-2.51, 2 Pd 2.66-2.75
Ta: 0.0857 0.7249 0.6632  2 Cu 2.49-2.51, 2 Pd 2.66-2.75
Ta: 0.0857 0.8608 0.4224  2 Cu 2.49-2.51, 2 Pd 2.66-2.75
Ta: 0.1392 0.0617 0.2249  2 Cu 2.49-2.51, 2 Pd 2.66-2.75
Ta: 0.1392 0.5776 0.9143  2 Cu 2.49-2.51, 2 Pd 2.66-2.75
Ta: 0.1632 0.2249 0.5857  2 Cu 2.49-2.51, 2 Pd 2.66-2.75
Ta: 0.1632 0.4383 0.5776  2 Cu 2.49-2.51, 2 Pd 2.66-2.75
Ta: 0.2249 0.1392 0.0617  2 Cu 2.49-2.51, 2 Pd 2.66-2.75
Ta: 0.2249 0.5857 0.1632  2 Cu 2.49-2.51, 2 Pd 2.66-2.75
Ta: 0.2751 0.3368 0.9143  2 Cu 2.49-2.51, 2 Pd 2.66-2.75
Ta: 0.2751 0.4383 0.3608  2 Cu 2.49-2.51, 2 Pd 2.66-2.75
Ta: 0.3368 0.9143 0.2751  2 Cu 2.49-2.51, 2 Pd 2.66-2.75
Ta: 0.3368 0.9224 0.0617  2 Cu 2.49-2.51, 2 Pd 2.66-2.75
Ta: 0.3608 0.2751 0.4383  2 Cu 2.49-2.51, 2 Pd 2.66-2.75
Ta: 0.3608 0.5857 0.9224  2 Cu 2.49-2.51, 2 Pd 2.66-2.75
Ta: 0.4143 0.0776 0.6392  2 Cu 2.49-2.51, 2 Pd 2.66-2.75
Ta: 0.4143 0.8368 0.7751  2 Cu 2.49-2.51, 2 Pd 2.66-2.75
Ta: 0.4224 0.0857 0.8608  2 Cu 2.49-2.51, 2 Pd 2.66-2.75
Ta: 0.4224 0.8368 0.5617  2 Cu 2.49-2.51, 2 Pd 2.66-2.75
Ta: 0.4383 0.3608 0.2751  2 Cu 2.49-2.51, 2 Pd 2.66-2.75
Ta: 0.4383 0.5776 0.1632  2 Cu 2.49-2.51, 2 Pd 2.66-2.75
Ta: 0.5617 0.4224 0.8368  2 Cu 2.49-2.51, 2 Pd 2.66-2.75
Ta: 0.5617 0.6392 0.7249  2 Cu 2.49-2.51, 2 Pd 2.66-2.75
Ta: 0.5776 0.1632 0.4383  2 Cu 2.49-2.51, 2 Pd 2.66-2.75
Ta: 0.5776 0.9143 0.1392  2 Cu 2.49-2.51, 2 Pd 2.66-2.75
Ta: 0.5857 0.1632 0.2249  2 Cu 2.49-2.51, 2 Pd 2.66-2.75
Ta: 0.5857 0.9224 0.3608  2 Cu 2.49-2.51, 2 Pd 2.66-2.75
Ta: 0.6392 0.4143 0.0776  2 Cu 2.49-2.51, 2 Pd 2.66-2.75
Ta: 0.6392 0.7249 0.5617  2 Cu 2.49-2.51, 2 Pd 2.66-2.75
Ta: 0.6632 0.0776 0.9383  2 Cu 2.49-2.51, 2 Pd 2.66-2.75
Ta: 0.6632 0.0857 0.7249  2 Cu 2.49-2.51, 2 Pd 2.66-2.75
Ta: 0.7249 0.5617 0.6392  2 Cu 2.49-2.51, 2 Pd 2.66-2.75
Ta: 0.7249 0.6632 0.0857  2 Cu 2.49-2.51, 2 Pd 2.66-2.75
Ta: 0.7751 0.4143 0.8368  2 Cu 2.49-2.51, 2 Pd 2.66-2.75
Ta: 0.7751 0.8608 0.9383  2 Cu 2.49-2.51, 2 Pd 2.66-2.75
Ta: 0.8368 0.5617 0.4224  2 Cu 2.49-2.51, 2 Pd 2.66-2.75
Ta: 0.8368 0.7751 0.4143  2 Cu 2.49-2.51, 2 Pd 2.66-2.75
Ta: 0.8608 0.4224 0.0857  2 Cu 2.49-2.51, 2 Pd 2.66-2.75
Ta: 0.8608 0.9383 0.7751  2 Cu 2.49-2.51, 2 Pd 2.66-2.75
Ta: 0.9143 0.1392 0.5776  2 Cu 2.49-2.51, 2 Pd 2.66-2.75
Ta: 0.9143 0.2751 0.3368  2 Cu 2.49-2.51, 2 Pd 2.66-2.75
Ta: 0.9224 0.0617 0.3368  2 Cu 2.49-2.51, 2 Pd 2.66-2.75
Ta: 0.9224 0.3608 0.5857  2 Cu 2.49-2.51, 2 Pd 2.66-2.75
Ta: 0.9383 0.6632 0.0776  2 Cu 2.49-2.51, 2 Pd 2.66-2.75
Ta: 0.9383 0.7751 0.8608  2 Cu 2.49-2.51, 2 Pd 2.66-2.75
Cu: 0.0000 0.0000 0.0000  6 Ta 2.51
Cu: 0.0000 0.0000 0.5000  6 Ta 2.51
Cu: 0.0000 0.5000 0.0000  6 Ta 2.51
Cu: 0.0000 0.5000 0.5000  6 Ta 2.51
Cu: 0.1250 0.7500 0.8750  4 Ta 2.49
Cu: 0.1250 0.8750 0.2500  4 Ta 2.49
Cu: 0.2500 0.1250 0.8750  4 Ta 2.49
Cu: 0.2500 0.6250 0.3750  4 Ta 2.49
Cu: 0.3750 0.2500 0.6250  4 Ta 2.49
Cu: 0.3750 0.6250 0.7500  4 Ta 2.49
Cu: 0.5000 0.0000 0.0000  6 Ta 2.51
Cu: 0.5000 0.0000 0.5000  6 Ta 2.51
Cu: 0.5000 0.5000 0.0000  6 Ta 2.51
Cu: 0.5000 0.5000 0.5000  6 Ta 2.51
Cu: 0.6250 0.3750 0.2500  4 Ta 2.49
Cu: 0.6250 0.7500 0.3750  4 Ta 2.49
Cu: 0.7500 0.3750 0.6250  4 Ta 2.49
Cu: 0.7500 0.8750 0.1250  4 Ta 2.49
Cu: 0.8750 0.1250 0.7500  4 Ta 2.49
Cu: 0.8750 0.2500 0.1250  4 Ta 2.49
Pd: 0.1250 0.2500 0.3750  8 Ta 2.66-2.75
Pd: 0.1250 0.3750 0.7500  8 Ta 2.66-2.75
Pd: 0.2500 0.3750 0.1250  8 Ta 2.66-2.75
Pd: 0.2500 0.8750 0.6250  8 Ta 2.66-2.75
Pd: 0.3750 0.1250 0.2500  8 Ta 2.66-2.75
Pd: 0.3750 0.7500 0.1250  8 Ta 2.66-2.75
Pd: 0.6250 0.2500 0.8750  8 Ta 2.66-2.75
Pd: 0.6250 0.8750 0.7500  8 Ta 2.66-2.75
Pd: 0.7500 0.1250 0.3750  8 Ta 2.66-2.75
Pd: 0.7500 0.6250 0.8750  8 Ta 2.66-2.75
Pd: 0.8750 0.6250 0.2500  8 Ta 2.66-2.75
Pd: 0.8750 0.7500 0.6250  8 Ta 2.66-2.75